Record 1
Material: Dy3Ga2Co2
Method: DFT, PBE
State: optimized geometry

The calculation puts the energy relative to the elements at -3.309 eV/f.u. The calculated total energy is -149.52 eV per cell. For the volume, the calculation gives 552.6 Å³/cell.

It has space group Pbcm (No. 57), with a = 5.480 Å, b = 7.735 Å, c = 13.037 Å, α = 90.00°, β = 90.00° and γ = 90.00°. The asymmetric unit holds Dy at (0.134, 0.241, 0.250), Dy at (0.345, 0.599, 0.097), Ga at (0.136, 0.250, 0.000), Ga at (0.358, 0.605, 0.750) and Co at (0.138, 0.534, 0.590).



Record 2
Material: DyGa6Co
Method: DFT, PBE
State: optimized geometry

The calculation puts the energy relative to the elements at -1.972 eV/f.u. The calculated total energy is -63.68 eV per cell. For the volume, the calculation gives 279.9 Å³/cell.

It has space group Amm2 (No. 38), with a = 3.959 Å, b = 7.582 Å, c = 9.324 Å, α = 90.00°, β = 90.00° and γ = 90.00°. The asymmetric unit holds Dy at (0.000, 0.000, 0.000), Ga at (0.000, 0.233, 0.261), Ga at (0.500, 0.000, 0.237), Ga at (0.500, 0.000, 0.764), Ga at (0.500, 0.183, 0.494) and Co at (0.000, 0.000, 0.608).



Record 3
Material: Dy3Ga4Co2
Method: DFT, PBE
State: optimized geometry

The calculation puts the energy relative to the elements at -4.816 eV/f.u. The calculated total energy is -89.88 eV per cell. For the volume, the calculation gives 347.0 Å³/cell.

It has space group C2/m (No. 12), with a = 10.511 Å, b = 4.254 Å, c = 8.090 Å, α = 90.00°, β = 106.42° and γ = 90.00°. The asymmetric unit holds Dy at (0.000, 0.000, 0.000), Dy at (0.125, 0.500, 0.689), Ga at (0.100, 0.000, 0.405), Ga at (0.218, 0.500, 0.080) and Co at (0.186, 0.500, 0.364).



Record 4
Material: DyGa3Co3
Method: DFT, PBE
State: optimized geometry

The calculation puts the energy relative to the elements at 5.198 eV/f.u. The calculated total energy is -238.42 eV per cell. For the volume, the calculation gives 1422.2 Å³/cell. The calculation puts the relative energy among the computed polymorphs at 3.73 eV per formula unit.

It has space group Fm-3m (No. 225), with a = 11.246 Å, b = 11.246 Å, c = 11.246 Å, α = 90.00°, β = 90.00° and γ = 90.00°. The asymmetric unit holds Dy at (0.250, 0.250, 0.250), Ga at (0.000, 0.000, 0.162) and Co at (0.000, 0.000, 0.358).



Record 5
Material: DyGa5Co
Method: DFT, PBE
State: optimized geometry

The calculation puts the energy relative to the elements at -3.251 eV/f.u. The calculated total energy is -30.09 eV per cell. For the volume, the calculation gives 121.6 Å³/cell.

It has space group P4/mmm (No. 123), with a = 4.218 Å, b = 4.218 Å, c = 6.834 Å, α = 90.00°, β = 90.00° and γ = 90.00°. The asymmetric unit holds Dy at (0.000, 0.000, 0.000), Ga at (0.000, 0.500, 0.310), Ga at (0.500, 0.500, 0.000) and Co at (0.000, 0.000, 0.500).



Record 6
Material: DyGa2Co
Method: DFT, PBE
State: optimized geometry

The calculation puts the energy relative to the elements at -2.127 eV/f.u. The calculated total energy is -159.11 eV per cell. For the volume, the calculation gives 553.2 Å³/cell.

It has space group Pnma (No. 62), with a = 14.607 Å, b = 6.822 Å, c = 5.551 Å, α = 90.00°, β = 90.00° and γ = 90.00°. The asymmetric unit holds Dy at (0.102, 0.250, 0.238), Dy at (0.138, 0.750, 0.465), Ga at (0.042, 0.058, 0.753), Ga at (0.211, 0.550, 0.947), Co at (0.071, 0.750, 0.995) and Co at (0.190, 0.250, 0.707).